Model i:
Computed, not measured: an optimized crystal structure of KHfIN2 at the GGA-PBE level of DFT.

```
5
Lattice="-0.067 4.089 1.698 1.522 -1.574 3.849 5.334 0.823 -1.773" Properties=species:S:1:pos:R:3 pbc="T T T"
I 2.667 0.412 -0.886
K 0.000 0.000 0.000
Hf 3.395 1.669 1.887
N 0.761 -0.787 1.924
N -0.033 2.044 0.849
```

Properties
- Symmetry: P4/mmm (123)
- Size of the total moment: 0.168 μB per formula unit

***

Model ii:
Computed, not measured: an optimized crystal structure of KHfIN2 at the GGA-PBE level of DFT.

```
5
Lattice="4.319 0.000 0.000 0.000 4.319 0.000 0.000 0.000 6.051" Properties=species:S:1:pos:R:3 pbc="T T T"
I 0.000 0.000 3.026
K 2.159 2.159 3.026
Hf 0.000 0.000 0.000
N 0.000 2.159 0.000
N 2.159 0.000 0.000
```

Properties
- Symmetry: P4/mmm (123)
- Size of the total moment: 0.241 μB per formula unit

***

Which is the most stable structure? model ii is the most stable.